Material: Tb4Tl3Ag
Method: DFT, GGA-PBE
State: optimized geometry

Results
DFT total energy (eV/atom): -3.86
Offset from the most stable computed form (meV/atom): 47
Energy of formation from the pure elements (eV per atom): -0.30
Volume (Å³/f.u.): 222

Cell lengths 3.839, 4.879, 11.841 Å; angles 90.00, 90.00, 90.00 degrees
Fractional positions:
Tl1 0.500 0.000 0.918
Tl2 0.000 0.500 0.589
Tl3 0.000 0.000 0.412
Tb1 0.500 0.500 0.340
Tb2 0.000 0.500 0.863
Tb3 0.000 0.000 0.145
Tb4 0.500 0.000 0.651
Ag1 0.500 0.500 0.081